No. 1
# Ca2AlF8

A relaxed structure of Ca2AlF8 (PBE-GGA, Alexandria).

```
Ca2AlF8
1.0
3.9426 0.0000 0.0000
0.0000 4.6359 -0.1272
-1.9713 -2.1145 7.1021
Ca Al F
2 1 8
direct
0.8334 0.3329 0.6667
0.1666 0.6671 0.3333
0.5000 0.0000 0.0000
0.4011 0.6524 0.8022
0.6004 0.8568 0.2008
0.7704 0.7691 0.5407
0.9994 0.2294 0.9989
0.2296 0.2309 0.4593
0.3996 0.1432 0.7992
0.5989 0.3476 0.1978
0.0006 0.7706 0.0011
```

Computed properties:
Space group = C2/m, No. 12

---

No. 2
# SrLiRe2

A relaxed structure of SrLiRe2 (PBE-GGA, Alexandria).

```
SrLiRe2
1.0
-4.6200 -0.3097 0.3765
0.4665 -1.7201 4.2902
1.9731 4.0590 -1.1016
Li Re Sr
1 2 1
direct
0.7500 0.2500 0.5000
0.0000 0.0000 0.0000
0.2500 0.7500 0.5000
0.5000 0.5000 0.0000
```

Computed properties:
Space group = F-43m, No. 216

---

No. 3
# FePbAu

A relaxed structure of FePbAu (PBE-GGA, Alexandria).

```
FePbAu
1.0
-6.0508 0.9593 -1.2774
-4.6351 0.6213 -4.1541
-1.2732 -2.9498 -0.2672
Au Fe Pb
1 1 1
direct
0.0256 0.0256 0.9744
0.6491 0.6491 0.3509
0.3253 0.3253 0.6747
```

Computed properties:
Space group = Fmm2, No. 42

---

No. 4
# NaNbMoSe2

A relaxed structure of NaNbMoSe2 (PBE-GGA, Alexandria).

```
NaNbMoSe2
1.0
-0.3467 -2.1520 4.2542
-3.7503 -2.4421 -1.5410
2.8956 -3.4836 -1.5262
Na Mo Nb Se
1 1 1 2
direct
0.0000 0.0000 0.0000
0.5000 0.5000 0.5000
0.0000 0.5000 0.0000
0.0000 0.0000 0.5000
0.5000 0.0000 0.0000
```

Computed properties:
Space group = P4/mmm, No. 123

---

No. 5
# Pr7Nd2Er2

A relaxed structure of Pr7Nd2Er2 (PBE-GGA, Alexandria).

```
Pr7Nd2Er2
1.0
-4.7931 8.4096 0.1434
-1.7503 -0.8818 -6.7485
-4.0104 -2.3762 5.2587
Pr Nd Er
7 2 2
direct
0.6852 0.0000 0.5000
0.3148 0.5000 0.0000
0.3148 0.0000 0.5000
0.6852 0.5000 0.0000
0.0000 0.0000 0.0000
0.1782 0.5000 0.5000
0.8218 0.5000 0.5000
0.5000 0.7509 0.7509
0.5000 0.2491 0.2491
0.0000 0.7321 0.2679
0.0000 0.2679 0.7321
```

Computed properties:
Space group = Cmmm, No. 65

---

No. 6
# Ce3TlAu

A relaxed structure of Ce3TlAu (PBE-GGA, Alexandria).

```
Ce3TlAu
1.0
3.3843 0.0000 0.0001
0.0000 8.4881 4.1138
-0.0001 -0.5892 9.4140
Ce Tl Au
6 2 2
direct
0.0000 0.6720 0.1542
0.0000 0.8458 0.3280
0.0000 0.3280 0.8458
0.0000 0.1542 0.6720
0.0000 0.7134 0.7134
0.0000 0.2866 0.2866
0.5000 0.0000 0.0000
0.5000 0.5000 0.5000
0.5000 0.5000 0.0000
0.5000 0.0000 0.5000
```

Computed properties:
Space group = Cmmm, No. 65

---

Looking at total moment for the records above, in order, we have 1.0 0.0 3.1 2.2 0.1 2.9 μB per formula unit.
Looking at VASP energy for the records above, in order, we have -5.2938 -6.3048 -4.7901 -4.1079 -4.4195 -4.9337 eV per atom.